(1)
Computed, not measured: La2MgVO6 at its PBEsol-relaxed geometry at the meta-GGA SCAN level of DFT.

Calculated values
Symmetry = R-3, No. 148
Uncorrected energy = -17.9967 eV/atom

a b c (Å): 5.443 5.443 5.443
angles (deg): 61.12 61.12 61.12
Element x y z (fractional)
La (0.249, 0.249, 0.249)
La (0.751, 0.751, 0.751)
Mg (0.500, 0.500, 0.500)
V (0.000, 0.000, 0.000)
O (0.175, 0.760, 0.310)
O (0.240, 0.690, 0.825)
O (0.310, 0.175, 0.760)
O (0.690, 0.825, 0.240)
O (0.760, 0.310, 0.175)
O (0.825, 0.240, 0.690)

---

(2)
Computed, not measured: La3MgOs at its PBEsol-relaxed geometry at the meta-GGA SCAN level of DFT.

Calculated values
Symmetry = Cm, No. 8
Formation energy = -0.191 eV per atom

a b c (Å): 6.832 6.832 6.320
angles (deg): 102.55 102.55 93.05
Element x y z (fractional)
La (0.000, 0.000, 0.000)
La (0.226, 0.797, 0.510)
La (0.324, 0.324, 0.605)
La (0.485, 0.870, 0.086)
La (0.797, 0.226, 0.510)
La (0.870, 0.485, 0.086)
Mg (0.385, 0.385, 0.118)
Mg (0.713, 0.713, 0.580)
Os (0.095, 0.597, 0.811)
Os (0.597, 0.095, 0.811)

---

(3)
Computed, not measured: La2MgOs at its PBEsol-relaxed geometry at the meta-GGA SCAN level of DFT.

Calculated values
Symmetry = P4/mmm, No. 123
Formation energy = -0.132 eV per atom

a b c (Å): 3.420 3.420 9.122
angles (deg): 90.00 90.00 90.00
Element x y z (fractional)
La (0.000, 0.000, 0.194)
La (0.000, 0.000, 0.806)
Mg (0.500, 0.500, 0.500)
Os (0.500, 0.500, 0.000)

---

(4)
Computed, not measured: La3MgOs at its PBEsol-relaxed geometry at the meta-GGA SCAN level of DFT.

Calculated values
Symmetry = Pm-3m, No. 221
Formation energy = -0.173 eV per atom

a b c (Å): 5.545 5.545 5.545
angles (deg): 90.00 90.00 90.00
Element x y z (fractional)
La (0.000, 0.000, 0.500)
La (0.000, 0.500, 0.000)
La (0.500, 0.000, 0.000)
Mg (0.500, 0.500, 0.500)
Os (0.000, 0.000, 0.000)

---

(5)
Computed, not measured: LaMg4Os at its PBEsol-relaxed geometry at the meta-GGA SCAN level of DFT.

Calculated values
Symmetry = F-43m, No. 216
Formation energy = 0.269 eV per atom

a b c (Å): 5.580 5.580 5.580
angles (deg): 60.00 60.00 60.00
Element x y z (fractional)
La (0.000, 0.000, 0.000)
Mg (0.130, 0.623, 0.623)
Mg (0.623, 0.130, 0.623)
Mg (0.623, 0.623, 0.130)
Mg (0.623, 0.623, 0.623)
Os (0.250, 0.250, 0.250)

---

(6)
Computed, not measured: LaMgP3 at its PBEsol-relaxed geometry at the meta-GGA SCAN level of DFT.

Calculated values
Symmetry = Pm-3m, No. 221
Formation energy = -0.220 eV per atom

a b c (Å): 4.732 4.732 4.732
angles (deg): 90.00 90.00 90.00
Element x y z (fractional)
La (0.000, 0.000, 0.000)
Mg (0.500, 0.500, 0.500)
P (0.000, 0.500, 0.500)
P (0.500, 0.000, 0.500)
P (0.500, 0.500, 0.000)

---

(7)
Computed, not measured: La2MgP at its PBEsol-relaxed geometry at the meta-GGA SCAN level of DFT.

Calculated values
Symmetry = P4/mmm, No. 123
Formation energy = -0.755 eV per atom

a b c (Å): 3.782 3.782 7.242
angles (deg): 90.00 90.00 90.00
Element x y z (fractional)
La (0.000, 0.000, 0.214)
La (0.000, 0.000, 0.786)
Mg (0.500, 0.500, 0.500)
P (0.500, 0.500, 0.000)

---

(8)
Computed, not measured: LaMgP2 at its PBEsol-relaxed geometry at the meta-GGA SCAN level of DFT.

Calculated values
Symmetry = P2/m, No. 10
Formation energy = -0.748 eV per atom

a b c (Å): 3.138 3.717 7.228
angles (deg): 90.00 102.20 90.00
Element x y z (fractional)
La (0.000, 0.000, 0.000)
Mg (0.000, 0.000, 0.500)
P (0.398, 0.500, 0.736)
P (0.602, 0.500, 0.264)

---

(9)
Computed, not measured: LaMgP at its PBEsol-relaxed geometry at the meta-GGA SCAN level of DFT.

Calculated values
Symmetry = P-6m2, No. 187
Formation energy = -0.970 eV per atom

a b c (Å): 4.342 4.342 4.125
angles (deg): 90.00 90.00 120.00
Element x y z (fractional)
La (0.000, 0.000, 0.000)
Mg (0.333, 0.667, 0.500)
P (0.667, 0.333, 0.500)

---

(10)
Computed, not measured: LaMgP2 at its PBEsol-relaxed geometry at the meta-GGA SCAN level of DFT.

Calculated values
Symmetry = Cmmm, No. 65
Formation energy = -0.776 eV per atom

a b c (Å): 4.660 4.660 3.755
angles (deg): 90.00 90.00 92.98
Element x y z (fractional)
La (0.000, 0.000, 0.000)
Mg (0.500, 0.500, 0.000)
P (0.000, 0.500, 0.500)
P (0.500, 0.000, 0.500)

---

(11)
Computed, not measured: La2MgP at its PBEsol-relaxed geometry at the meta-GGA SCAN level of DFT.

Calculated values
Symmetry = P4mm, No. 99
Formation energy = -0.520 eV per atom

a b c (Å): 4.364 4.364 6.162
angles (deg): 90.00 90.00 90.00
Element x y z (fractional)
La (0.000, 0.000, 0.000)
La (0.500, 0.500, 0.494)
Mg (0.000, 0.000, 0.502)
P (0.500, 0.500, 0.996)

---

(12)
Computed, not measured: La2MgP at its PBEsol-relaxed geometry at the meta-GGA SCAN level of DFT.

Calculated values
Symmetry = P4mm, No. 99
Formation energy = -0.412 eV per atom

a b c (Å): 3.537 3.537 8.356
angles (deg): 90.00 90.00 90.00
Element x y z (fractional)
La (0.000, 0.000, 0.000)
La (0.500, 0.500, 0.365)
Mg (0.000, 0.000, 0.639)
P (0.500, 0.500, 0.784)